A geometry-optimized GaPd structure. Source: Alexandria, functional PBE-GGA.

Results
Total DFT energy (no corrections), eV/atom: -4.395
Magnetic moment, μB/f.u.: 0.00

Cell: 9.590 9.590 2.984 Å, 90.00 90.00 90.00°
Positions (direct):
Ga  0.109  0.648  0.500
Ga  0.609  0.148  0.000
Ga  0.391  0.852  0.000
Ga  0.891  0.352  0.500
Ga  0.852  0.609  0.000
Ga  0.648  0.891  0.500
Ga  0.148  0.391  0.000
Ga  0.352  0.109  0.500
Pd  0.316  0.596  0.000
Pd  0.684  0.404  0.000
Pd  0.904  0.816  0.500
Pd  0.816  0.096  0.500
Pd  0.596  0.684  0.000
Pd  0.096  0.184  0.500
Pd  0.184  0.904  0.500
Pd  0.404  0.316  0.000